1.
VASP calculation (PBE-GGA) on a geometry-optimized TaHPd structure.

a b c (Å): 2.8726 8.8384 3.9387
angles (deg): 90.00 133.20 90.00
Closest atoms and distances in Å follow each position.
Fractional coordinates of all 6 atoms:
Ta 0.0000 0.1237 0.2500  4 Pd 2.86-2.95, 8 Ta 2.87-3.03
Ta 0.0000 0.8763 0.7500  4 Pd 2.86-2.95, 8 Ta 2.87-3.03
H 0.5000 0.4995 0.2500  4 Pd 1.90-1.91, 4 H 1.97-2.09
H 0.5000 0.5005 0.7500  4 Pd 1.90-1.91, 4 H 1.97-2.09
Pd 0.0000 0.3589 0.7500  4 H 1.90-1.91
Pd 0.0000 0.6411 0.2500  4 H 1.90-1.91

Output
Spin magnetization (μB per formula unit): 0.000
DFT total energy (eV per cell): -41.362
ΔE to the lowest computed polymorph (kcal/mol of atoms): 2.59
D(E_F) (states/eV per cell): 2.53

***

2.
VASP calculation (PBE-GGA) on a geometry-optimized PRhBr2 structure.

a b c (Å): 4.7261 4.7261 4.7261
angles (deg): 60.00 60.00 60.00
Closest atoms and distances in Å follow each position.
Fractional coordinates of all 4 atoms:
P 0.0000 0.0000 0.0000  8 Br 2.89
Rh 0.5000 0.5000 0.5000  8 Br 2.89
Br 0.2500 0.2500 0.2500  4 Rh 2.89, 4 P 2.89
Br 0.7500 0.7500 0.7500  4 Rh 2.89, 4 P 2.89

Output
Spin magnetization (μB per formula unit): 0.028
DFT total energy (eV per cell): -12.676
Raw formation energy (eV/atom): 0.86
ΔE to the lowest computed polymorph (kcal/mol of atoms): 31.50
D(E_F) (states/eV per cell): 4.43

***

3.
VASP calculation (PBE-GGA) on a geometry-optimized BaCu2SbRu structure.

a b c (Å): 5.2269 5.2269 5.0331
angles (deg): 90.00 90.00 90.00
Closest atoms and distances in Å follow each position.
Fractional coordinates of all 5 atoms:
Ba 0.0000 0.0000 0.0000  2 Ru 2.52, 4 Cu 2.61
Cu 0.0000 0.5000 0.0000  2 Ba 2.61
Cu 0.5000 0.0000 0.0000  2 Ba 2.61
Sb 0.5000 0.5000 0.5000  8 Cu 3.63, 4 Ru 3.70
Ru 0.0000 0.0000 0.5000  2 Ba 2.52

Output
Spin magnetization (μB per formula unit): 0.000
DFT total energy (eV per cell): -14.866
Raw formation energy (eV/atom): 1.73
D(E_F) (states/eV per cell): 5.10